VASP calculation (PBE) on an optimized crystal structure of RbCoS2Cl.

For the uncorrected formation energy, the calculation gives 1.333 eV per atom. The energy above the most stable polymorph in this dataset is 1.808 eV per atom. The calculation puts the total magnetization at 5.02 μB/f.u. The crystal system is tetragonal. The density of states at the Fermi level is 9.38 states/eV per cell.

It has space group P4/mmm (No. 123), with a = 5.8679 Å, b = 5.8679 Å, c = 5.8061 Å, α = 90.00°, β = 90.00° and γ = 90.00°. Symmetry generates all atoms from Rb at (0.0000, 0.0000, 0.0000), Co at (0.5000, 0.5000, 0.5000), S at (0.0000, 0.5000, 0.0000) and Cl at (0.0000, 0.0000, 0.5000).